# 1
The following is a PBE calculation of a geometry-optimized AcPu3Ru3 structure, from Alexandria.

The space group is Pm-3n (No. 223) and the conventional cell measures 7.2575, 7.2575 and 7.2575 Å, with angles of 90.00, 90.00 and 90.00 degrees. The inequivalent atoms are Ac at (0.0000, 0.0000, 0.0000), Pu at (0.0000, 0.2500, 0.5000) and Ru at (0.0000, 0.5000, 0.2500).

For the density of states at the Fermi level, the calculation gives 13.983 states/eV/f.u. The formation energy is 34.80 kJ/mol of atoms. For the electronic total energy, the calculation gives -10.34 eV/atom. The theoretical density is 10.97 g cm⁻³.

=====

# 2
The following is a PBE calculation of a geometry-optimized AcPuRu structure, from Alexandria.

The space group is P2_1/c (No. 14) and the conventional cell measures 7.3892, 6.9411 and 8.2212 Å, with angles of 90.00, 121.13 and 90.00 degrees. The inequivalent atoms are Ac at (0.1635, 0.1667, 0.4029), Pu at (0.3514, 0.6756, 0.6238) and Ru at (0.3319, 0.5534, 0.3121).

For the density of states at the Fermi level, the calculation gives 6.922 states/eV/f.u. The formation energy is -10.11 kJ/mol of atoms. For the electronic total energy, the calculation gives -9.34 eV/atom. The theoretical density is 10.53 g cm⁻³. The excess energy over the best structure of this formula in the dataset is 0.0000 eV per atom.

=====

# 3
The following is a PBE calculation of a geometry-optimized Ac2PuRu2 structure, from Alexandria.

The space group is C2/c (No. 15) and the conventional cell measures 10.6200, 6.3036 and 8.0388 Å, with angles of 90.00, 100.54 and 90.00 degrees. The inequivalent atoms are Ac at (0.1526, 0.1186, 0.1525), Pu at (0.0000, 0.3924, 0.7500) and Ru at (0.1249, 0.3728, 0.5111).

For the density of states at the Fermi level, the calculation gives 7.752 states/eV/f.u. The formation energy is -19.29 kJ/mol of atoms. For the electronic total energy, the calculation gives -8.42 eV/atom. The theoretical density is 11.30 g cm⁻³.

=====

# 4
The following is a PBE calculation of a geometry-optimized AcPuRu structure, from Alexandria.

The space group is F-43m (No. 216) and the conventional cell measures 7.0214, 7.0214 and 7.0214 Å, with angles of 90.00, 90.00 and 90.00 degrees. The inequivalent atoms are Ac at (0.0000, 0.0000, 0.0000), Pu at (0.0000, 0.0000, 0.5000) and Ru at (0.2500, 0.2500, 0.7500).

For the density of states at the Fermi level, the calculation gives 12.591 states/eV/f.u. The formation energy is 13.10 kJ/mol of atoms. For the electronic total energy, the calculation gives -9.10 eV/atom. The theoretical density is 10.98 g cm⁻³. The excess energy over the best structure of this formula in the dataset is 0.2405 eV per atom.

=====

# 5
The following is a PBE calculation of a geometry-optimized AcPuRu structure, from Alexandria.

The space group is P-3m1 (No. 164) and the conventional cell measures 3.7411, 3.7411 and 12.6299 Å, with angles of 90.00, 90.00 and 120.00 degrees. The inequivalent atoms are Ac at (0.0000, 0.0000, 0.1561), Pu at (0.3333, 0.6667, 0.5517) and Ru at (0.3333, 0.6667, 0.3153).

For the density of states at the Fermi level, the calculation gives 5.483 states/eV/f.u. The formation energy is 23.52 kJ/mol of atoms. For the electronic total energy, the calculation gives -8.99 eV/atom. The theoretical density is 12.41 g cm⁻³. The excess energy over the best structure of this formula in the dataset is 0.3486 eV per atom.

=====

# 6
The following is a PBE calculation of a geometry-optimized Ac3PuRu structure, from Alexandria.

The space group is Pm-3m (No. 221) and the conventional cell measures 5.7770, 5.7770 and 5.7770 Å, with angles of 90.00, 90.00 and 90.00 degrees. The inequivalent atoms are Ac at (0.0000, 0.0000, 0.5000), Pu at (0.5000, 0.5000, 0.5000) and Ru at (0.0000, 0.0000, 0.0000).

For the density of states at the Fermi level, the calculation gives 21.412 states/eV/f.u. The formation energy is 11.85 kJ/mol of atoms. For the electronic total energy, the calculation gives -7.06 eV/atom. The theoretical density is 8.84 g cm⁻³.